# 1
A plane-wave DFT calculation with PBE-GGA was carried out for an optimized crystal structure of PuSnRuRh.

```
PuSnRuRh
1.0
6.651 0.000 0.000
0.000 6.651 0.000
0.000 0.000 6.651
Pu Sn Ru Rh
4 4 4 4
direct
0.000 0.000 0.000 Pu
0.000 0.500 0.500 Pu
0.500 0.000 0.500 Pu
0.500 0.500 0.000 Pu
0.000 0.000 0.500 Sn
0.000 0.500 0.000 Sn
0.500 0.000 0.000 Sn
0.500 0.500 0.500 Sn
0.250 0.250 0.750 Ru
0.250 0.750 0.250 Ru
0.750 0.250 0.250 Ru
0.750 0.750 0.750 Ru
0.250 0.250 0.250 Rh
0.250 0.750 0.750 Rh
0.750 0.250 0.750 Rh
0.750 0.750 0.250 Rh
```

Calculated values
Its crystal system is cubic. Its calculated volume is 18.39 Å³ per atom. For the spin magnetization, the calculation gives 4.74 μB/f.u. The space group is F-43m (216). The density of states at the Fermi level is 24.62 states/eV per cell. The value obtained for the formation energy from the elements is -381 meV per atom. For the density, the calculation gives 12.80 g/cm³.

# 2
A plane-wave DFT calculation with PBE-GGA was carried out for an optimized crystal structure of Be2Nb2ZnRh5.

```
Be2Nb2ZnRh5
1.0
9.452 0.000 0.000
0.000 9.452 0.000
0.000 0.000 3.014
Be Nb Zn Rh
4 4 2 10
direct
0.125 0.375 0.000 Be
0.375 0.875 0.000 Be
0.625 0.125 0.000 Be
0.875 0.625 0.000 Be
0.176 0.676 0.000 Nb
0.324 0.176 0.000 Nb
0.676 0.824 0.000 Nb
0.824 0.324 0.000 Nb
0.000 0.000 0.000 Zn
0.500 0.500 0.000 Zn
0.000 0.500 0.500 Rh
0.066 0.210 0.500 Rh
0.210 0.934 0.500 Rh
0.290 0.434 0.500 Rh
0.434 0.710 0.500 Rh
0.500 0.000 0.500 Rh
0.566 0.290 0.500 Rh
0.710 0.566 0.500 Rh
0.790 0.066 0.500 Rh
0.934 0.790 0.500 Rh
```

Calculated values
Its crystal system is tetragonal. Its calculated volume is 13.46 Å³ per atom. For the spin magnetization, the calculation gives 0.00 μB/f.u. The space group is P4/mbm (127). The density of states at the Fermi level is 10.48 states/eV per cell. The value obtained for the formation energy from the elements is -538 meV per atom. For the density, the calculation gives 9.67 g/cm³.

# 3
A plane-wave DFT calculation with PBE-GGA was carried out for an optimized crystal structure of TaAs2P.

```
TaAs2P
1.0
3.156 0.000 0.000
-1.578 2.733 0.000
0.000 0.000 25.661
Ta As P
3 6 3
direct
0.000 0.000 0.000 Ta
0.333 0.667 0.667 Ta
0.667 0.333 0.333 Ta
0.000 0.000 0.521 As
0.000 0.000 0.745 As
0.333 0.667 0.188 As
0.333 0.667 0.411 As
0.667 0.333 0.078 As
0.667 0.333 0.855 As
0.000 0.000 0.266 P
0.333 0.667 0.932 P
0.667 0.333 0.599 P
```

Calculated values
Its crystal system is trigonal. Its calculated volume is 18.45 Å³ per atom. For the spin magnetization, the calculation gives 0.00 μB/f.u. The space group is R3m (160). The density of states at the Fermi level is 5.50 states/eV per cell. The value obtained for the formation energy from the elements is 33 meV per atom. For the density, the calculation gives 8.14 g/cm³.

# 4
A plane-wave DFT calculation with PBE-GGA was carried out for an optimized crystal structure of PmGa3Pt2.

```
PmGa3Pt2
1.0
8.389 -2.089 0.000
8.389 2.089 0.000
-2.629 0.000 9.671
Pm Ga Pt
3 9 6
direct
0.000 0.000 0.000 Pm
0.154 0.154 0.703 Pm
0.846 0.846 0.297 Pm
0.045 0.045 0.361 Ga
0.219 0.219 0.379 Ga
0.343 0.343 0.056 Ga
0.367 0.367 0.810 Ga
0.500 0.500 0.500 Ga
0.633 0.633 0.190 Ga
0.657 0.657 0.944 Ga
0.781 0.781 0.621 Ga
0.955 0.955 0.639 Ga
0.204 0.204 0.111 Pt
0.357 0.357 0.552 Pt
0.484 0.484 0.224 Pt
0.516 0.516 0.776 Pt
0.643 0.643 0.448 Pt
0.796 0.796 0.889 Pt
```

Calculated values
Its crystal system is monoclinic. Its calculated volume is 18.83 Å³ per atom. For the spin magnetization, the calculation gives 0.00 μB/f.u. The space group is C2/m (12). The calculation puts the excess energy over the best structure of this formula in the dataset at 0 meV per atom. The density of states at the Fermi level is 8.13 states/eV per cell. The value obtained for the formation energy from the elements is -845 meV per atom. For the density, the calculation gives 10.94 g/cm³.

# 5
A plane-wave DFT calculation with PBE-GGA was carried out for an optimized crystal structure of CaOs2Rh.

```
CaOs2Rh
1.0
2.792 0.000 0.000
-1.396 2.418 0.000
0.000 0.000 28.609
Ca Os Rh
3 6 3
direct
0.000 0.000 0.000 Ca
0.333 0.667 0.667 Ca
0.667 0.333 0.333 Ca
0.000 0.000 0.243 Os
0.000 0.000 0.757 Os
0.333 0.667 0.423 Os
0.333 0.667 0.910 Os
0.667 0.333 0.090 Os
0.667 0.333 0.577 Os
0.000 0.000 0.500 Rh
0.333 0.667 0.167 Rh
0.667 0.333 0.833 Rh
```

Calculated values
Its crystal system is trigonal. Its calculated volume is 16.10 Å³ per atom. For the spin magnetization, the calculation gives 0.00 μB/f.u. The space group is R-3m (166). The calculation puts the excess energy over the best structure of this formula in the dataset at 353 meV per atom. The density of states at the Fermi level is 13.33 states/eV per cell. The value obtained for the formation energy from the elements is 570 meV per atom. For the density, the calculation gives 13.50 g/cm³.

# 6
A plane-wave DFT calculation with PBE-GGA was carried out for an optimized crystal structure of KBaTeS2.

```
KBaTeS2
1.0
7.675 0.000 0.000
0.000 5.619 0.000
-1.859 0.000 7.432
K Ba Te S
2 2 2 4
direct
0.000 0.009 0.250 K
0.000 0.991 0.750 K
0.500 0.279 0.750 Ba
0.500 0.721 0.250 Ba
0.000 0.500 0.000 Te
0.000 0.500 0.500 Te
0.298 0.237 0.065 S
0.298 0.763 0.565 S
0.702 0.237 0.435 S
0.702 0.763 0.935 S
```

Calculated values
Its crystal system is monoclinic. Its calculated volume is 32.05 Å³ per atom. For the spin magnetization, the calculation gives 0.00 μB/f.u. The space group is P2/c (13). The value obtained for the formation energy (no corrections) is -1079 meV/atom. The density of states at the Fermi level is 7.03 states/eV per cell. For the density, the calculation gives 3.82 g/cm³.